1.
First-principles (PBE) data for a relaxed structure of RbLaI2F, as listed in the Alexandria database.

Unit cell a=6.503 b=6.503 c=4.667 alpha=90.00 beta=90.00 gamma=90.00
Each line ends with the local moment (μB).
Atoms (fractional coordinates):
F: 0.000 0.000 0.500  0.00
I: 0.500 0.000 0.000  0.00
Rb: 0.500 0.500 0.500  0.00
I: 0.000 0.500 0.000  0.00
La: 0.000 0.000 0.000  0.21

Output
- Uncorrected formation energy: -9.79 eV per formula unit
- Uncorrected energy: -4.13 eV per atom
- SG: P4/mmm, No. 123
- Calculated density: 4.184 Mg/m³
- Crystal system: tetragonal


2.
First-principles (PBE) data for a relaxed structure of La8Ru3I4F, as listed in the Alexandria database.

Unit cell a=8.367 b=9.574 c=8.380 alpha=115.99 beta=119.95 gamma=90.00
Atoms (fractional coordinates):
La: 0.718 0.684 0.951
La: 0.282 0.316 0.049
La: 0.270 0.310 0.540
La: 0.766 0.315 0.532
I: 0.000 0.000 0.500
La: 0.234 0.685 0.468
Ru: 0.500 0.500 0.000
La: 0.233 0.684 0.951
F: 0.000 0.500 0.000
I: 0.500 0.000 0.000
I: 0.000 0.000 0.000
I: 0.500 0.000 0.500
La: 0.767 0.316 0.049
Ru: 0.500 0.500 0.500
Ru: 0.000 0.500 0.500
La: 0.730 0.690 0.460

Output
- Uncorrected formation energy: -16.64 eV per formula unit
- Uncorrected energy: -5.75 eV per atom
- SG: C2/m, No. 12
- Calculated density: 6.423 Mg/m³
- Crystal system: monoclinic


3.
First-principles (PBE) data for a relaxed structure of La2SIF2, as listed in the Alexandria database.

Unit cell a=4.198 b=4.198 c=8.946 alpha=90.00 beta=90.00 gamma=120.00
Atoms (fractional coordinates):
I: 0.000 0.000 0.000
F: 0.333 0.667 0.260
La: 0.333 0.667 0.702
La: 0.667 0.333 0.298
F: 0.667 0.333 0.740
S: 0.000 0.000 0.500

Output
- Uncorrected formation energy: -16.87 eV per formula unit
- Uncorrected energy: -6.02 eV per atom
- SG: P-3m1, No. 164
- Calculated density: 5.773 Mg/m³
- Crystal system: trigonal


4.
First-principles (PBE) data for a relaxed structure of La2SbIF, as listed in the Alexandria database.

Unit cell a=5.982 b=5.638 c=5.982 alpha=90.00 beta=90.00 gamma=90.00
Atoms (fractional coordinates):
Sb: 0.000 0.500 0.000
La: 0.500 0.000 0.000
I: 0.000 0.000 0.000
F: 0.500 0.500 0.500
La: 0.000 0.000 0.500

Output
- Uncorrected formation energy: -1.14 eV per formula unit
- Uncorrected energy: -3.71 eV per atom
- SG: P4/mmm, No. 123
- Calculated density: 4.490 Mg/m³
- Crystal system: tetragonal


5.
First-principles (PBE) data for a relaxed structure of La2SeIF2, as listed in the Alexandria database.

Unit cell a=4.235 b=4.235 c=9.151 alpha=90.00 beta=90.00 gamma=120.00
Atoms (fractional coordinates):
Se: 0.000 0.000 0.500
I: 0.000 0.000 0.000
La: 0.333 0.667 0.711
F: 0.667 0.333 0.746
F: 0.333 0.667 0.254
La: 0.667 0.333 0.289

Output
- Uncorrected formation energy: -16.61 eV per formula unit
- Uncorrected energy: -5.87 eV per atom
- SG: P-3m1, No. 164
- Calculated density: 6.095 Mg/m³
- Crystal system: trigonal


6.
First-principles (PBE) data for a relaxed structure of La2TeIF2, as listed in the Alexandria database.

Unit cell a=4.288 b=4.288 c=9.545 alpha=90.00 beta=90.00 gamma=120.00
Atoms (fractional coordinates):
Te: 0.000 0.000 0.500
F: 0.667 0.333 0.756
La: 0.333 0.667 0.726
I: 0.000 0.000 0.000
F: 0.333 0.667 0.244
La: 0.667 0.333 0.274

Output
- Uncorrected formation energy: -15.76 eV per formula unit
- Uncorrected energy: -5.68 eV per atom
- SG: P-3m1, No. 164
- Calculated density: 6.232 Mg/m³
- Crystal system: trigonal


7.
First-principles (PBE) data for a relaxed structure of LaTeI2F, as listed in the Alexandria database.

Unit cell a=5.746 b=5.746 c=4.448 alpha=90.00 beta=90.00 gamma=90.00
Atoms (fractional coordinates):
La: 0.500 0.500 0.500
Te: 0.000 0.000 0.500
I: 0.500 0.000 0.000
I: 0.000 0.500 0.000
F: 0.000 0.000 0.000

Output
- Uncorrected formation energy: -4.55 eV per formula unit
- E above lowest polymorph: 0.0 kJ per mole of atoms
- Uncorrected energy: -3.52 eV per atom
- SG: P4/mmm, No. 123
- Calculated density: 6.099 Mg/m³
- Crystal system: tetragonal


8.
First-principles (PBE) data for a relaxed structure of LaTeI2F, as listed in the Alexandria database.

Unit cell a=6.188 b=6.188 c=6.514 alpha=90.00 beta=90.00 gamma=90.00
Each line ends with the local moment (μB).
Atoms (fractional coordinates):
F: 0.500 0.500 0.500  0.42
I: 0.500 0.000 0.000  0.06
I: 0.000 0.500 0.000  0.06
La: 0.000 0.000 0.000  -0.01
Te: 0.000 0.000 0.500  0.70

Output
- Uncorrected formation energy: -3.78 eV per formula unit
- E above lowest polymorph: 14.9 kJ per mole of atoms
- Uncorrected energy: -3.36 eV per atom
- SG: P4/mmm, No. 123
- Calculated density: 3.590 Mg/m³
- Crystal system: tetragonal


9.
First-principles (PBE) data for a relaxed structure of LaTe2IF, as listed in the Alexandria database.

Unit cell a=6.317 b=6.317 c=6.194 alpha=90.00 beta=90.00 gamma=90.00
Each line ends with the local moment (μB).
Atoms (fractional coordinates):
Te: 0.500 0.000 0.000  0.58
Te: 0.000 0.500 0.000  0.58
La: 0.000 0.000 0.000  -0.01
I: 0.000 0.000 0.500  0.12
F: 0.500 0.500 0.500  0.41

Output
- Uncorrected formation energy: -2.27 eV per formula unit
- E above lowest polymorph: 45.0 kJ per mole of atoms
- Uncorrected energy: -3.38 eV per atom
- SG: P4/mmm, No. 123
- Calculated density: 3.627 Mg/m³
- Crystal system: tetragonal


10.
First-principles (PBE) data for a relaxed structure of LaTe2IF, as listed in the Alexandria database.

Unit cell a=4.847 b=4.847 c=5.921 alpha=90.00 beta=90.00 gamma=90.00
Atoms (fractional coordinates):
Te: 0.500 0.000 0.000
La: 0.500 0.500 0.500
Te: 0.000 0.500 0.000
F: 0.000 0.000 0.000
I: 0.000 0.000 0.500

Output
- Uncorrected formation energy: -4.60 eV per formula unit
- E above lowest polymorph: 0.0 kJ per mole of atoms
- Uncorrected energy: -3.85 eV per atom
- SG: P4/mmm, No. 123
- Calculated density: 6.446 Mg/m³
- Crystal system: tetragonal


11.
First-principles (PBE) data for a relaxed structure of La2TlIF, as listed in the Alexandria database.

Unit cell a=6.015 b=5.998 c=6.015 alpha=90.00 beta=90.00 gamma=90.00
Atoms (fractional coordinates):
I: 0.000 0.000 0.000
F: 0.500 0.500 0.500
La: 0.000 0.000 0.500
Tl: 0.000 0.500 0.000
La: 0.500 0.000 0.000

Output
- Uncorrected formation energy: -0.72 eV per formula unit
- Uncorrected energy: -3.27 eV per atom
- SG: P4/mmm, No. 123
- Calculated density: 4.807 Mg/m³
- Crystal system: tetragonal